Entry 1:
Material: Ca8Cd2Rh
Method: DFT, PBE
State: relaxed

## Properties
Crystal system: monoclinic
Formation enthalpy at 0 K, eV/atom: -0.222
Calculated volume, Å³/cell: 352
Excess energy over the best structure of this formula in the dataset, eV/atom: 0.0000
Total magnetization, μB/atom: 0.00

Lattice parameters (Å, degrees): 5.541 7.194 9.759 108.71 106.49 90.00
Element x y z (fractional)
Ca: 0.206 0.291 0.413
Ca: 0.408 0.588 0.817
Ca: 0.979 0.207 0.958
Ca: 0.647 0.953 0.295
Ca: 0.794 0.709 0.587
Ca: 0.592 0.412 0.183
Ca: 0.021 0.793 0.042
Ca: 0.353 0.047 0.705
Rh: 0.500 0.000 0.000
Cd: 0.181 0.711 0.362
Cd: 0.819 0.289 0.638



Entry 2:
Material: Mn2ReTc
Method: DFT, PBE
State: relaxed

## Properties
Crystal system: monoclinic
Formation enthalpy at 0 K, eV/atom: 0.111
Calculated volume, Å³/cell: 54
Total magnetization, μB/atom: 0.99

Lattice parameters (Å, degrees): 5.201 4.842 2.614 81.92 76.07 118.17
Element x y z (fractional)
Mn: 0.000 0.000 0.000
Mn: 0.500 0.000 0.500
Tc: 0.500 0.500 0.000
Re: 0.000 0.500 0.500



Entry 3:
Material: Hf2Be2Co5Cu
Method: DFT, PBE
State: relaxed

## Properties
Crystal system: tetragonal
Formation enthalpy at 0 K, eV/atom: -0.283
Calculated volume, Å³/cell: 238
Total magnetization, μB/atom: 0.14

Lattice parameters (Å, degrees): 3.178 8.652 8.652 90.00 90.00 90.00
Element x y z (fractional)
Co: 0.500 0.933 0.214
Co: 0.500 0.214 0.067
Co: 0.500 0.500 0.000
Co: 0.500 0.067 0.786
Co: 0.500 0.433 0.286
Co: 0.500 0.567 0.714
Co: 0.500 0.786 0.933
Co: 0.500 0.286 0.567
Co: 0.500 0.000 0.500
Co: 0.500 0.714 0.433
Cu: 0.000 0.500 0.500
Cu: 0.000 0.000 0.000
Hf: 0.000 0.321 0.821
Hf: 0.000 0.821 0.679
Hf: 0.000 0.679 0.179
Hf: 0.000 0.179 0.321
Be: 0.000 0.617 0.883
Be: 0.000 0.883 0.383
Be: 0.000 0.117 0.617
Be: 0.000 0.383 0.117



Entry 4:
Material: ZrZn2Mo
Method: DFT, PBE
State: relaxed

## Properties
Crystal system: cubic
Formation enthalpy at 0 K, eV/atom: 0.067
Calculated volume, Å³/cell: 66
Excess energy over the best structure of this formula in the dataset, eV/atom: 0.1605
Total magnetization, μB/atom: 0.00

Lattice parameters (Å, degrees): 4.547 4.547 4.547 60.00 60.00 60.00
Element x y z (fractional)
Zn: 0.250 0.250 0.250
Zn: 0.750 0.750 0.750
Zr: 0.000 0.000 0.000
Mo: 0.500 0.500 0.500



Among the records above, which one has the lowest formation enthalpy at 0 K? Hf2Be2Co5Cu



Which of these has the highest calculated volume? Ca8Cd2Rh



Which formula does entry 3 have? Hf2Be2Co5Cu



Which formula does entry 3 have? Hf2Be2Co5Cu